1.
Material: NaNd12Ni6
Method: DFT, GGA-PBE
State: relaxed

a = 8.8158 Å, b = 8.8158 Å, c = 8.8158 Å
α = 109.47°, β = 109.47°, γ = 109.47°
Element x y z (fractional)
Nd (0.5015, 0.1884, 0.3131)
Nd (0.1884, 0.3131, 0.5015)
Nd (0.3131, 0.1247, 0.8116)
Nd (0.8116, 0.6869, 0.4985)
Nd (0.6869, 0.8753, 0.1884)
Nd (0.8116, 0.3131, 0.1247)
Ni (0.8801, 0.3801, 0.5000)
Nd (0.1247, 0.8116, 0.3131)
Nd (0.3131, 0.5015, 0.1884)
Nd (0.6869, 0.4985, 0.8116)
Ni (0.5000, 0.8801, 0.3801)
Ni (0.5000, 0.1199, 0.6199)
Na (0.0000, 0.0000, 0.0000)
Ni (0.3801, 0.5000, 0.8801)
Ni (0.6199, 0.5000, 0.1199)
Nd (0.8753, 0.1884, 0.6869)
Ni (0.1199, 0.6199, 0.5000)
Nd (0.1884, 0.6869, 0.8753)
Nd (0.4985, 0.8116, 0.6869)

Output
Final energy, eV/atom: -5.085
Formation energy, eV/atom: -0.18
Space group: Im-3
Spin magnetization, μB per formula unit: 0.00
D(E_F), states/eV per cell: 21.43

---

2.
Material: CeTiBr
Method: DFT, GGA-PBE
State: relaxed

a = 3.4966 Å, b = 4.5305 Å, c = 12.2399 Å
α = 93.63°, β = 81.79°, γ = 67.30°
Site moments in Bohr magnetons follow the coordinates.
Element x y z (fractional)
Ti (0.3826, 0.2584, 0.9764)  -0.04
Ti (0.6174, 0.7416, 0.0236)  -0.04
Ce (0.2307, 0.7436, 0.7950)  0.71
Br (0.9566, 0.7329, 0.3540)  -0.01
Br (0.0434, 0.2671, 0.6460)  -0.01
Ce (0.7693, 0.2564, 0.2050)  0.71

Output
Final energy, eV/atom: -5.634
Space group: C2/m
Spin magnetization, μB per formula unit: 0.85
D(E_F), states/eV per cell: 12.01

---

3.
Material: TcAgB2
Method: DFT, GGA-PBE
State: relaxed

a = 4.9376 Å, b = 4.9376 Å, c = 5.9751 Å
α = 65.60°, β = 65.60°, γ = 90.00°
Element x y z (fractional)
B (0.8750, 0.8329, 0.7500)
B (0.1671, 0.6250, 0.2500)
B (0.5829, 0.1250, 0.2500)
Tc (0.2500, 0.7500, 0.5000)
B (0.3750, 0.4171, 0.7500)
Ag (0.7500, 0.2500, 0.5000)
Tc (0.5000, 0.5000, 0.0000)
Ag (0.0000, 0.0000, 0.0000)

Output
Final energy, eV/atom: -5.760
Formation energy, eV/atom: 0.88
Space group: I-42d
Spin magnetization, μB per formula unit: 0.00
D(E_F), states/eV per cell: 2.35

---

4.
Material: YTmCd4
Method: DFT, GGA-PBE
State: relaxed

a = 5.8901 Å, b = 5.8901 Å, c = 5.8901 Å
α = 60.00°, β = 60.00°, γ = 60.00°
Element x y z (fractional)
Cd (0.6250, 0.6250, 0.1249)
Y (0.0000, 0.0000, 0.0000)
Cd (0.6250, 0.1249, 0.6250)
Cd (0.6250, 0.6250, 0.6250)
Cd (0.1249, 0.6250, 0.6250)
Tm (0.2500, 0.2500, 0.2500)

Output
Final energy, eV/atom: -2.678
Formation energy, eV/atom: -0.25
Space group: F-43m
Spin magnetization, μB per formula unit: 0.00
D(E_F), states/eV per cell: 5.58

---

5.
Material: CsPaTe3Pd
Method: DFT, GGA-PBE
State: relaxed

a = 4.3574 Å, b = 10.2247 Å, c = 11.0384 Å
α = 116.02°, β = 90.00°, γ = 90.00°
Site moments in Bohr magnetons follow the coordinates.
Element x y z (fractional)
Te (0.2500, 0.7932, 0.4633)  -0.01
Pa (0.7500, 0.3009, 0.8285)  0.31
Te (0.2500, 0.5308, 0.8552)  -0.01
Cs (0.7500, 0.7699, 0.7387)  0.00
Te (0.7500, 0.2068, 0.5367)  -0.01
Te (0.2500, 0.1142, 0.8661)  -0.01
Cs (0.2500, 0.2301, 0.2613)  0.00
Pd (0.2500, 0.0967, 0.6126)  -0.03
Te (0.7500, 0.4692, 0.1448)  -0.01
Te (0.7500, 0.8858, 0.1339)  -0.01
Pa (0.2500, 0.6991, 0.1715)  0.31
Pd (0.7500, 0.9033, 0.3874)  -0.03

Output
Final energy, eV/atom: -5.053
Space group: P2_1/m
Spin magnetization, μB per formula unit: 0.25
D(E_F), states/eV per cell: 4.94

---

6.
Material: Al2Zn3
Method: DFT, GGA-PBE
State: relaxed

a = 4.3829 Å, b = 4.3829 Å, c = 5.3009 Å
α = 90.00°, β = 90.00°, γ = 120.00°
Element x y z (fractional)
Zn (0.3333, 0.6667, 0.3730)
Zn (0.6667, 0.3333, 0.6270)
Al (0.3333, 0.6667, 0.8588)
Zn (0.0000, 0.0000, 0.0000)
Al (0.6667, 0.3333, 0.1412)

Output
Final energy, eV/atom: -2.134
Formation energy, eV/atom: 0.13
Space group: P-3m1
Spin magnetization, μB per formula unit: 0.00
D(E_F), states/eV per cell: 1.38

---

7.
Material: La2PrZn6
Method: DFT, GGA-PBE
State: relaxed

a = 3.6620 Å, b = 8.0325 Å, c = 8.0325 Å
α = 120.00°, β = 90.00°, γ = 90.00°
Element x y z (fractional)
La (0.0000, 0.3333, 0.6667)
Pr (0.0000, 0.0000, 0.0000)
Zn (0.5000, 0.3316, 0.3316)
Zn (0.5000, 0.3316, 0.0000)
Zn (0.5000, 0.6684, 0.6684)
Zn (0.5000, 0.0000, 0.6684)
Zn (0.5000, 0.0000, 0.3316)
Zn (0.5000, 0.6684, 0.0000)
La (0.0000, 0.6667, 0.3333)

Output
Final energy, eV/atom: -2.823
Formation energy, eV/atom: -0.35
Space group: P6/mmm
Spin magnetization, μB per formula unit: 0.00
D(E_F), states/eV per cell: 8.53

---

8.
Material: Mn2IrCl
Method: DFT, GGA-PBE
State: relaxed

a = 2.9404 Å, b = 4.9059 Å, c = 4.3240 Å
α = 90.00°, β = 90.00°, γ = 90.00°
Site moments in Bohr magnetons follow the coordinates.
Element x y z (fractional)
Ir (0.0000, 0.5000, 0.5000)  0.32
Cl (0.5000, 0.0000, 0.5000)  0.12
Mn (0.5000, 0.5000, 0.0000)  3.46
Mn (0.0000, 0.0000, 0.0000)  3.80

Output
Final energy, eV/atom: -6.646
Space group: Pmmm
Spin magnetization, μB per formula unit: 8.07
D(E_F), states/eV per cell: 3.45